Compound: Nd4MgAg5
Source: Alexandria
Functional: PBE-GGA
Structure: relaxed

Computed properties:
Raw total energy = -0.1370 Ha/atom
Spin magnetization = 0.00 μB/cell
D(E_F) = 7.48 states/eV per cell
DFT formation energy = -0.235 eV per atom

a = 3.6432 Å, b = 3.6432 Å, c = 18.8270 Å
α = 90.00°, β = 90.00°, γ = 90.00°
With the nearest neighbours (Å) after each atom.
Space group P4/mmm (No. 123)
Symmetry-distinct sites (fractional):
Nd 0.0000 0.0000 0.1040 (multiplicity 2)  8 Ag 3.23-3.24
Nd 0.0000 0.0000 0.3126 (multiplicity 2)  8 Ag 3.24-3.26, 1 Mg 3.53
Mg 0.0000 0.0000 0.5000 (multiplicity 1)  8 Ag 3.00
Ag 0.5000 0.5000 0.0000 (multiplicity 1)  8 Nd 3.24
Ag 0.5000 0.5000 0.2079 (multiplicity 2)  8 Nd 3.23-3.24
Ag 0.5000 0.5000 0.4188 (multiplicity 2)  4 Mg 3.00, 1 Ag 3.06, 4 Nd 3.26